1.
# Ac2HS PBE-GGA relaxed
# DFT total energy = -4.87 eV/atom
data_Ac2HS
_chemical_formula_sum 'Ac6 H3 S3'
_space_group_name_H-M_alt 'R 3 m'
_space_group_IT_number 160
_space_group_name_Hall 'R 3 -2"'
_cell_length_a 3.9904
_cell_length_b 3.9904
_cell_length_c 22.4410
_cell_angle_alpha 90.00
_cell_angle_beta 90.00
_cell_angle_gamma 120.00
loop_
_atom_site_label
_atom_site_type_symbol
_atom_site_fract_x
_atom_site_fract_y
_atom_site_fract_z
Ac1 Ac 0.0000 0.0000 0.0000
Ac2 Ac 0.0000 0.0000 0.1625
H1 H 0.0000 0.0000 0.7589
S1 S 0.0000 0.0000 0.5804

=====

2.
# Hf2ScH PBE-GGA relaxed
# DFT total energy = -6.44 eV/atom
data_Hf2ScH
_chemical_formula_sum 'Hf8 Sc4 H4'
_space_group_name_H-M_alt 'F m -3 m'
_space_group_IT_number 225
_space_group_name_Hall '-F 4 2 3'
_cell_length_a 6.7010
_cell_length_b 6.7010
_cell_length_c 6.7010
_cell_angle_alpha 90.00
_cell_angle_beta 90.00
_cell_angle_gamma 90.00
loop_
_atom_site_label
_atom_site_type_symbol
_atom_site_fract_x
_atom_site_fract_y
_atom_site_fract_z
Hf1 Hf 0.2500 0.2500 0.2500
Sc1 Sc 0.0000 0.0000 0.0000
H1 H 0.0000 0.0000 0.5000

=====

3.
# LiVZn PBE-GGA relaxed
# Energy of formation from the pure elements = 0.0312 eV/atom
data_LiVZn
_chemical_formula_sum 'Li2 V2 Zn2'
_space_group_name_H-M_alt 'P 1 21/m 1'
_space_group_IT_number 11
_cell_length_a 2.4834
_cell_length_b 4.2824
_cell_length_c 7.8558
_cell_angle_alpha 90.00
_cell_angle_beta 90.40
_cell_angle_gamma 90.00
loop_
_space_group_symop_operation_xyz
'x,y,z'
'-x,-y,-z'
'-x,y+1/2,-z'
'x,-y+1/2,z'
loop_
_atom_site_label
_atom_site_type_symbol
_atom_site_fract_x
_atom_site_fract_y
_atom_site_fract_z
Li1 Li 0.0751 0.2500 0.0810
V1 V 0.1222 0.7500 0.5788
Zn1 Zn 0.4742 0.7500 0.2560

=====

4.
# Be2CuSe PBE-GGA relaxed
# Formation energy (no corrections) = 129 meV per atom
data_Be2CuSe
_chemical_formula_sum 'Be4 Cu2 Se2'
_space_group_name_H-M_alt 'C m m m'
_space_group_IT_number 65
_space_group_name_Hall '-C 2 2'
_cell_length_a 3.9087
_cell_length_b 7.3351
_cell_length_c 3.9024
_cell_angle_alpha 90.00
_cell_angle_beta 90.00
_cell_angle_gamma 90.00
loop_
_atom_site_label
_atom_site_type_symbol
_atom_site_fract_x
_atom_site_fract_y
_atom_site_fract_z
Be1 Be 0.0000 0.1796 0.0000
Cu1 Cu 0.0000 0.5000 0.0000
Se1 Se 0.0000 0.0000 0.5000